SrTcPb2 (PBE, relaxed); excess energy over the best structure of this formula in the dataset = 0.309 eV per atom; DFT formation energy = 0.460 eV/atom; energy = -17.63 eV per cell
1.0
-4.127 1.278 -4.259
0.239 -3.473 -4.968
-0.118 -1.002 5.982
Tc Sr Pb
1 1 2
direct
0.750 0.250 0.500 Tc
0.500 0.500 0.000 Sr
0.000 0.000 0.000 Pb
0.250 0.750 0.500 Pb

SrTcPb2 (PBE, relaxed); excess energy over the best structure of this formula in the dataset = 0.428 eV per atom; DFT formation energy = 0.578 eV/atom; energy = -17.15 eV per cell
1.0
-4.495 -1.572 -2.453
-0.630 -5.130 -1.407
-3.534 -3.075 2.598
Pb Sr Tc
2 1 1
direct
0.000 0.000 0.000 Pb
0.250 0.250 0.250 Pb
0.500 0.500 0.500 Sr
0.750 0.750 0.750 Tc

SrTcPb2 (PBE, relaxed); excess energy over the best structure of this formula in the dataset = 0.109 eV per atom; DFT formation energy = 0.259 eV/atom; energy = -18.43 eV per cell
1.0
6.254 0.011 0.006
2.432 5.761 -0.006
-3.428 -4.263 3.031
Sr Pb Tc
1 2 1
direct
0.250 0.750 0.500 Sr
0.960 0.960 0.000 Pb
0.540 0.540 0.000 Pb
0.750 0.250 0.500 Tc

SrTcPb2 (PBE, relaxed); excess energy over the best structure of this formula in the dataset = 0.040 eV per atom; DFT formation energy = 0.191 eV/atom; energy = -18.70 eV per cell
1.0
4.601 -0.609 0.415
2.800 3.702 0.415
1.927 0.805 6.104
Tc Pb Sr
1 2 1
direct
0.250 0.250 0.250 Tc
0.971 0.971 0.086 Pb
0.529 0.529 0.414 Pb
0.750 0.750 0.750 Sr

Sr4TcPb (PBE, relaxed); DFT formation energy = 0.918 eV/atom; energy = -15.30 eV per cell
1.0
2.422 3.819 5.172
-2.999 -0.281 6.175
3.243 -3.002 5.261
Sr Pb Tc
4 1 1
direct
0.376 0.376 0.873 Sr
0.376 0.376 0.376 Sr
0.376 0.873 0.376 Sr
0.873 0.376 0.376 Sr
0.000 0.000 0.000 Pb
0.750 0.750 0.750 Tc

SrTcPb2 (PBE, relaxed); excess energy over the best structure of this formula in the dataset = 0.347 eV per atom; DFT formation energy = 0.498 eV/atom; energy = -17.47 eV per cell
1.0
-4.156 -3.767 0.935
2.995 -1.662 -4.539
2.133 -1.832 2.083
Pb Sr Tc
2 1 1
direct
0.500 0.500 0.000 Pb
0.000 0.000 0.000 Pb
0.500 0.000 0.500 Sr
0.000 0.500 0.500 Tc

SrTcPb2 (PBE, relaxed); excess energy over the best structure of this formula in the dataset = 0.098 eV per atom; DFT formation energy = 0.249 eV/atom; energy = -18.47 eV per cell
1.0
4.850 -0.624 0.954
3.548 3.365 0.954
1.860 0.607 6.570
Pb Sr Tc
2 1 1
direct
0.706 0.706 0.831 Pb
0.948 0.948 0.165 Pb
0.537 0.537 0.477 Sr
0.310 0.310 0.027 Tc

SrTcPb2 (PBE, relaxed); excess energy over the best structure of this formula in the dataset = 0.190 eV per atom; DFT formation energy = 0.340 eV/atom; energy = -18.10 eV per cell
1.0
0.000 3.654 3.654
3.654 0.000 3.654
3.654 3.654 0.000
Tc Pb Sr
1 2 1
direct
0.500 0.500 0.500 Tc
0.250 0.250 0.250 Pb
0.750 0.750 0.750 Pb
0.000 0.000 0.000 Sr

SrTcPb2 (PBE, relaxed); excess energy over the best structure of this formula in the dataset = 0.288 eV per atom; DFT formation energy = 0.439 eV/atom; energy = -17.71 eV per cell
1.0
-1.023 1.181 4.720
-2.388 -3.098 0.258
3.237 -4.816 1.906
Pb Tc Sr
2 1 1
direct
0.500 0.221 0.183 Pb
0.000 0.819 0.989 Pb
0.500 0.918 0.787 Tc
0.000 0.542 0.542 Sr

SrTc3Pb (PBE, relaxed); excess energy over the best structure of this formula in the dataset = 0.000 eV per atom; DFT formation energy = 1.821 eV/atom; energy = -27.38 eV per cell
1.0
5.170 0.000 0.000
0.000 5.170 0.000
0.000 0.000 5.170
Tc Sr Pb
3 1 1
direct
0.500 0.000 0.000 Tc
0.000 0.500 0.000 Tc
0.000 0.000 0.500 Tc
0.500 0.500 0.500 Sr
0.000 0.000 0.000 Pb

SrTcPb2 (PBE, relaxed); excess energy over the best structure of this formula in the dataset = 0.296 eV per atom; DFT formation energy = 0.446 eV/atom; energy = -17.68 eV per cell
1.0
4.805 0.000 0.000
0.000 4.802 0.000
0.000 0.000 4.654
Sr Tc Pb
1 1 2
direct
0.500 0.000 0.500 Sr
0.000 0.500 0.500 Tc
0.500 0.500 0.000 Pb
0.000 0.000 0.000 Pb

SrTc3Pb (PBE, relaxed); excess energy over the best structure of this formula in the dataset = 0.817 eV per atom; DFT formation energy = 2.639 eV/atom; energy = -23.29 eV per cell
1.0
-3.131 1.802 -3.425
3.415 -0.787 -3.536
-1.821 -4.573 -0.741
Tc Sr Pb
3 1 1
direct
0.000 0.500 0.000 Tc
0.500 0.000 0.000 Tc
0.000 0.000 0.500 Tc
0.000 0.000 0.000 Sr
0.500 0.500 0.500 Pb

DFT formation energy of number 9 (SrTcPb2)?
0.439 eV/atom

What is the formula in the eighth record?
SrTcPb2